Computed, not measured: a relaxed structure of NaLi2Pm at the PBE level of DFT.

Values from the calculation:
Energy of formation, eV per atom: 0.11

```
data_NaLi2Pm
_chemical_formula_sum 'Na3 Li6 Pm3'
_cell_length_a 3.434
_cell_length_b 3.434
_cell_length_c 33.802
_cell_angle_alpha 90.00
_cell_angle_beta 90.00
_cell_angle_gamma 120.00
_symmetry_space_group_name_H-M 'P 1'
_symmetry_Int_Tables_number 1
loop_
_symmetry_equiv_pos_as_xyz
'x,y,z'
loop_
_atom_site_label
_atom_site_fract_x
_atom_site_fract_y
_atom_site_fract_z
Na1 0.000 0.000 0.000
Na2 0.333 0.667 0.667
Na3 0.667 0.333 0.333
Li1 0.000 0.000 0.417
Li2 0.000 0.000 0.583
Li3 0.333 0.667 0.084
Li4 0.333 0.667 0.250
Li5 0.667 0.333 0.751
Li6 0.667 0.333 0.916
Pm1 0.000 0.000 0.167
Pm2 0.333 0.667 0.834
Pm3 0.667 0.333 0.500
```